The following is a PBE with a Hubbard U calculation of crystalline VBiO5 at its relaxed geometry, from Alexandria via LeMat-Bulk.

Structure (POSCAR):
```
VBiO5
1.0
8.462 0.000 0.000
0.000 6.050 0.345
0.000 3.688 8.287
V Bi O
4 4 20
Direct
0.632 0.357 0.971
0.368 0.643 0.029
0.132 0.643 0.529
0.868 0.357 0.471
0.057 0.940 0.825
0.943 0.060 0.175
0.443 0.940 0.325
0.557 0.060 0.675
0.081 0.724 0.679
0.069 0.316 0.596
0.172 0.941 0.325
0.608 0.868 0.527
0.333 0.593 0.533
0.167 0.593 0.033
0.431 0.316 0.096
0.569 0.684 0.904
0.392 0.132 0.473
0.581 0.276 0.821
0.667 0.407 0.467
0.919 0.276 0.321
0.419 0.724 0.179
0.833 0.407 0.967
0.108 0.132 0.973
0.892 0.868 0.027
0.828 0.059 0.675
0.931 0.684 0.404
0.672 0.059 0.175
0.328 0.941 0.825
```

The value obtained for the total magnetic moment is 0.75 μB per formula unit. The raw total energy is -6.278 eV/atom. The calculation puts the density of states at the Fermi level at 0.29 states/eV/atom.